The following is a GGA-PBE calculation of a geometry-optimized Ta2Bi2O7 structure, from the Alexandria database.

Summary:
V   171.8 Å³ per cell
Spin magnetization   0.00 μB/f.u.
Symmetry   C2/m, No. 12
E above lowest polymorph   0.003 eV per atom
Formation energy (no corrections)   -22.02 eV/f.u.
Crystal system   monoclinic

Structure (CIF):
```
data_Ta2Bi2O7
_space_group_name_H-M_alt 'P 1'
_space_group_IT_number 1
_space_group_name_Hall 'P 1'
_cell_length_a 5.4269
_cell_length_b 5.4269
_cell_length_c 6.0659
_cell_angle_alpha 95.37
_cell_angle_beta 95.37
_cell_angle_gamma 75.58
loop_
_atom_site_label
_atom_site_type_symbol
_atom_site_fract_x
_atom_site_fract_y
_atom_site_fract_z
Ta1 Ta 0.2229 0.2229 0.4573
Ta2 Ta 0.7771 0.7771 0.5427
Bi1 Bi 0.2883 0.7117 0.0000
Bi2 Bi 0.7117 0.2883 0.0000
O1 O 0.0000 0.0000 0.5000
O2 O 0.1396 0.5308 0.6631
O3 O 0.3117 0.3117 0.1844
O4 O 0.4692 0.8604 0.3369
O5 O 0.5308 0.1396 0.6631
O6 O 0.6883 0.6883 0.8156
O7 O 0.8604 0.4692 0.3369
```